Here is a relaxed structure of TmThGaTc from Alexandria via LeMat-Bulk. Energies are from GGA-PBE.

abc: 5.021 5.021 5.021
angles: 60.00 60.00 60.00
Atoms (fractional coordinates):
Tm1 0.000 0.000 0.000
Th1 0.500 0.500 0.500
Ga1 0.250 0.250 0.250
Tc1 0.750 0.750 0.750

Properties
Space-group type: No. 216
E_form (eV per formula unit): -1.0
Crystal system: cubic

***

Here is a relaxed structure of TmThGaTc from Alexandria via LeMat-Bulk. Energies are from GGA-PBE.

abc: 3.968 6.053 6.053
angles: 39.33 90.00 90.00
Atoms (fractional coordinates):
Tm1 0.000 0.000 0.000
Th1 0.500 0.723 0.723
Ga1 0.500 0.429 0.429
Tc1 0.000 0.272 0.272

Properties
Space-group type: No. 38
E_form (eV per formula unit): -1.6
Crystal system: orthorhombic

***

Here is a relaxed structure of YThGaTc from Alexandria via LeMat-Bulk. Energies are from GGA-PBE.

abc: 3.970 6.153 6.153
angles: 38.81 90.00 90.00
Atoms (fractional coordinates):
Y1 0.000 0.000 0.000
Th1 0.500 0.723 0.723
Ga1 0.500 0.425 0.425
Tc1 0.000 0.270 0.270

Properties
Space-group type: No. 38
E_form (eV per formula unit): -1.6
Crystal system: orthorhombic

***

Here is a relaxed structure of Y3Th3GaTc2 from Alexandria via LeMat-Bulk. Energies are from GGA-PBE.

abc: 7.902 7.902 4.250
angles: 90.00 90.00 120.00
Atoms (fractional coordinates):
Y1 0.000 0.744 0.000
Y2 0.256 0.256 0.000
Y3 0.744 0.000 0.000
Th1 0.000 0.421 0.500
Th2 0.421 0.000 0.500
Th3 0.579 0.579 0.500
Ga1 0.000 0.000 0.500
Tc1 0.333 0.667 0.000
Tc2 0.667 0.333 0.000

Properties
Space-group type: No. 189
E_form (eV per formula unit): -1.0
Crystal system: hexagonal

***

Here is a relaxed structure of YThGaTc from Alexandria via LeMat-Bulk. Energies are from GGA-PBE.

abc: 5.058 5.058 5.058
angles: 60.00 60.00 60.00
Atoms (fractional coordinates):
Y1 0.000 0.000 0.000
Th1 0.500 0.500 0.500
Ga1 0.250 0.250 0.250
Tc1 0.750 0.750 0.750

Properties
Space-group type: No. 216
E_form (eV per formula unit): -0.9
Crystal system: cubic

***

Here is a relaxed structure of TiGaTc from Alexandria via LeMat-Bulk. Energies are from GGA-PBE.

abc: 4.628 4.628 5.285
angles: 100.81 100.81 55.03
Atoms (fractional coordinates):
Ti1 0.000 0.000 0.000
Ti2 0.710 0.710 0.356
Ga1 0.040 0.040 0.505
Ga2 0.335 0.335 0.725
Tc1 0.374 0.374 0.224
Tc2 0.662 0.662 0.858

Properties
Space-group type: No. 8
E_form (eV per formula unit): -1.1
Crystal system: monoclinic

***

Here is a relaxed structure of TiGa2Tc from Alexandria via LeMat-Bulk. Energies are from GGA-PBE.

abc: 4.386 4.386 4.386
angles: 60.00 60.00 60.00
Atoms (fractional coordinates):
Ti1 0.000 0.000 0.000
Ga1 0.250 0.250 0.250
Ga2 0.750 0.750 0.750
Tc1 0.500 0.500 0.500

Properties
Space-group type: No. 225
E_form (eV per formula unit): -1.1
Crystal system: cubic

***

Here is a relaxed structure of Ti4GaTc2 from Alexandria via LeMat-Bulk. Energies are from GGA-PBE.

abc: 7.018 7.018 7.018
angles: 141.47 141.47 55.63
Atoms (fractional coordinates):
Ti1 0.000 0.500 0.500
Ti2 0.201 0.201 0.000
Ti3 0.500 0.000 0.500
Ti4 0.799 0.799 0.000
Ga1 0.000 0.000 0.000
Tc1 0.383 0.383 0.000
Tc2 0.617 0.617 0.000

Properties
Space-group type: No. 139
E_form (eV per formula unit): 4.1
Crystal system: tetragonal

***

Here is a relaxed structure of TiGaTc from Alexandria via LeMat-Bulk. Energies are from GGA-PBE.

abc: 4.840 4.840 4.840
angles: 140.61 140.61 56.93
Atoms (fractional coordinates):
Ti1 0.000 0.000 0.000
Ga1 0.322 0.322 0.000
Tc1 0.654 0.654 0.000

Properties
Space-group type: No. 107
E_form (eV per formula unit): -1.6
Crystal system: tetragonal

***

Here is a relaxed structure of Ti6Ga10Tc from Alexandria via LeMat-Bulk. Energies are from GGA-PBE.

abc: 7.731 7.731 5.338
angles: 90.00 90.00 120.00
Atoms (fractional coordinates):
Ti1 0.000 0.384 0.289
Ti2 0.000 0.616 0.711
Ti3 0.384 0.000 0.289
Ti4 0.384 0.384 0.711
Ti5 0.616 0.000 0.711
Ti6 0.616 0.616 0.289
Ga1 0.000 0.255 0.805
Ga2 0.000 0.745 0.195
Ga3 0.255 0.000 0.805
Ga4 0.255 0.255 0.195
Ga5 0.333 0.667 0.000
Ga6 0.333 0.667 0.500
Ga7 0.667 0.333 0.000
Ga8 0.667 0.333 0.500
Ga9 0.745 0.000 0.195
Ga10 0.745 0.745 0.805
Tc1 0.000 0.000 0.500

Properties
Space-group type: No. 162
E_form (eV per formula unit): -4.8
Crystal system: trigonal

***

Here is a relaxed structure of TiGa3Tc2 from Alexandria via LeMat-Bulk. Energies are from GGA-PBE.

abc: 6.107 6.107 5.028
angles: 90.00 90.00 98.83
Atoms (fractional coordinates):
Ti1 0.043 0.957 0.750
Ti2 0.957 0.043 0.250
Ga1 0.295 0.295 0.000
Ga2 0.295 0.295 0.500
Ga3 0.313 0.687 0.750
Ga4 0.687 0.313 0.250
Ga5 0.705 0.705 0.000
Ga6 0.705 0.705 0.500
Tc1 0.074 0.621 0.250
Tc2 0.379 0.926 0.250
Tc3 0.621 0.074 0.750
Tc4 0.926 0.379 0.750

Properties
Space-group type: No. 63
E_form (eV per formula unit): -0.5
Crystal system: orthorhombic

***

Here is a relaxed structure of Ti12Ga6Tc from Alexandria via LeMat-Bulk. Energies are from GGA-PBE.

abc: 6.775 6.775 6.775
angles: 90.24 90.24 90.24
Atoms (fractional coordinates):
Ti1 0.022 0.304 0.942
Ti2 0.058 0.978 0.696
Ti3 0.130 0.357 0.454
Ti4 0.304 0.942 0.022
Ti5 0.357 0.454 0.130
Ti6 0.454 0.130 0.357
Ti7 0.546 0.870 0.643
Ti8 0.643 0.546 0.870
Ti9 0.696 0.058 0.978
Ti10 0.870 0.643 0.546
Ti11 0.942 0.022 0.304
Ti12 0.978 0.696 0.058
Ga1 0.227 0.762 0.380
Ga2 0.238 0.620 0.773
Ga3 0.380 0.227 0.762
Ga4 0.620 0.773 0.238
Ga5 0.762 0.380 0.227
Ga6 0.773 0.238 0.620
Tc1 0.500 0.500 0.500

Properties
Space-group type: No. 148
E_form (eV per formula unit): -5.1
Crystal system: trigonal

***

Here is a relaxed structure of TiGa2Tc from Alexandria via LeMat-Bulk. Energies are from GGA-PBE.

abc: 3.825 3.825 4.098
angles: 90.00 90.00 90.00
Atoms (fractional coordinates):
Ti1 0.000 0.000 0.000
Ga1 0.000 0.500 0.500
Ga2 0.500 0.000 0.500
Tc1 0.500 0.500 0.000

Properties
Space-group type: No. 123
E_form (eV per formula unit): -1.2
Crystal system: tetragonal

***

Here is a relaxed structure of Ti4Ga5Tc from Alexandria via LeMat-Bulk. Energies are from GGA-PBE.

abc: 6.223 6.223 6.223
angles: 100.90 100.90 128.46
Atoms (fractional coordinates):
Ti1 0.072 0.710 0.782
Ti2 0.290 0.072 0.363
Ti3 0.710 0.928 0.637
Ti4 0.928 0.290 0.218
Ga1 0.225 0.402 0.647
Ga2 0.402 0.755 0.176
Ga3 0.579 0.225 0.824
Ga4 0.731 0.731 0.000
Ga5 0.755 0.579 0.353
Tc1 0.200 0.200 0.000

Properties
Space-group type: No. 79
E_form (eV per formula unit): -1.8
Crystal system: tetragonal

***

Here is a relaxed structure of TiGaTc from Alexandria via LeMat-Bulk. Energies are from GGA-PBE.

abc: 5.311 5.311 6.054
angles: 108.91 108.91 34.73
Atoms (fractional coordinates):
Ti1 0.001 0.001 0.247
Ti2 0.999 0.999 0.753
Ga1 0.325 0.325 0.397
Ga2 0.675 0.675 0.603
Tc1 0.339 0.339 0.926
Tc2 0.661 0.661 0.074

Properties
Space-group type: No. 12
E_form (eV per formula unit): -1.2
Crystal system: monoclinic

***

Here is a relaxed structure of Ti3Ga4Tc from Alexandria via LeMat-Bulk. Energies are from GGA-PBE.

abc: 9.010 5.365 5.182
angles: 90.00 90.00 90.00
Atoms (fractional coordinates):
Ti1 0.000 0.104 0.000
Ti2 0.236 0.633 0.730
Ti3 0.264 0.367 0.230
Ti4 0.500 0.896 0.500
Ti5 0.736 0.367 0.230
Ti6 0.764 0.633 0.730
Ga1 0.000 0.337 0.505
Ga2 0.000 0.599 0.045
Ga3 0.243 0.871 0.227
Ga4 0.257 0.129 0.727
Ga5 0.500 0.401 0.545
Ga6 0.500 0.663 0.005
Ga7 0.743 0.129 0.727
Ga8 0.757 0.871 0.227
Tc1 0.000 0.834 0.550
Tc2 0.500 0.166 0.050

Properties
Space-group type: No. 31
E_form (eV per formula unit): -2.9
Crystal system: orthorhombic

***

Here is a relaxed structure of Ti3GaTc from Alexandria via LeMat-Bulk. Energies are from GGA-PBE.

abc: 8.435 8.435 4.402
angles: 90.00 90.00 149.90
Atoms (fractional coordinates):
Ti1 0.053 0.947 0.750
Ti2 0.250 0.750 0.750
Ti3 0.446 0.554 0.750
Ti4 0.554 0.446 0.250
Ti5 0.750 0.250 0.250
Ti6 0.947 0.053 0.250
Ga1 0.347 0.653 0.250
Ga2 0.653 0.347 0.750
Tc1 0.155 0.845 0.250
Tc2 0.845 0.155 0.750

Properties
Space-group type: No. 63
E_form (eV per formula unit): -2.0
Crystal system: orthorhombic

***

Here is a relaxed structure of Ti2GaTc from Alexandria via LeMat-Bulk. Energies are from GGA-PBE.

abc: 5.690 5.690 5.690
angles: 102.54 102.54 124.46
Atoms (fractional coordinates):
Ti1 0.092 0.625 0.966
Ti2 0.375 0.342 0.466
Ti3 0.658 0.125 0.034
Ti4 0.875 0.908 0.534
Ga1 0.250 0.750 0.500
Ga2 0.500 0.500 0.000
Tc1 0.000 0.000 0.000
Tc2 0.750 0.250 0.500

Properties
Space-group type: No. 122
E_form (eV per formula unit): 0.3
Crystal system: tetragonal

***

Here is a relaxed structure of Ti4Ga2Tc from Alexandria via LeMat-Bulk. Energies are from GGA-PBE.

abc: 7.510 7.510 7.510
angles: 144.46 144.46 51.14
Atoms (fractional coordinates):
Ti1 0.000 0.500 0.500
Ti2 0.181 0.181 0.000
Ti3 0.500 0.000 0.500
Ti4 0.819 0.819 0.000
Ga1 0.373 0.373 0.000
Ga2 0.627 0.627 0.000
Tc1 0.000 0.000 0.000

Properties
Space-group type: No. 139
E_form (eV per formula unit): 2.6
Crystal system: tetragonal

***

Here is a relaxed structure of TiGa2Tc from Alexandria via LeMat-Bulk. Energies are from GGA-PBE.

abc: 3.292 3.292 5.575
angles: 90.00 90.00 90.00
Atoms (fractional coordinates):
Ti1 0.000 0.000 0.000
Ga1 0.500 0.500 0.262
Ga2 0.500 0.500 0.738
Tc1 0.000 0.000 0.500

Properties
Space-group type: No. 123
E_form (eV per formula unit): -1.0
Crystal system: tetragonal

***

Here is a relaxed structure of Ti3GaTc from Alexandria via LeMat-Bulk. Energies are from GGA-PBE.

abc: 4.694 4.694 4.694
angles: 90.00 90.00 90.00
Atoms (fractional coordinates):
Ti1 0.000 0.000 0.500
Ti2 0.000 0.500 0.000
Ti3 0.500 0.000 0.000
Ga1 0.500 0.500 0.500
Tc1 0.000 0.000 0.000

Properties
Space-group type: No. 221
E_form (eV per formula unit): 2.4
Crystal system: cubic

***

Here is a relaxed structure of Ti8Ga5Tc from Alexandria via LeMat-Bulk. Energies are from GGA-PBE.

abc: 6.741 6.741 6.741
angles: 110.04 110.04 108.35
Atoms (fractional coordinates):
Ti1 0.116 0.365 0.105
Ti2 0.159 0.391 0.627
Ti3 0.259 0.010 0.895
Ti4 0.468 0.841 0.232
Ti5 0.609 0.235 0.768
Ti6 0.635 0.741 0.751
Ti7 0.765 0.532 0.373
Ti8 0.990 0.884 0.249
Ga1 0.250 0.750 0.500
Ga2 0.390 0.248 0.372
Ga3 0.752 0.124 0.142
Ga4 0.876 0.018 0.628
Ga5 0.982 0.610 0.858
Tc1 0.500 0.500 0.000

Properties
Space-group type: No. 82
E_form (eV per formula unit): -3.6
Crystal system: tetragonal

***

Here is a relaxed structure of TiGaTc from Alexandria via LeMat-Bulk. Energies are from GGA-PBE.

abc: 6.800 6.800 3.240
angles: 90.00 90.00 142.84
Atoms (fractional coordinates):
Ti1 0.169 0.831 0.000
Ti2 0.831 0.169 0.000
Ga1 0.000 0.000 0.500
Ga2 0.500 0.500 0.000
Tc1 0.337 0.663 0.500
Tc2 0.663 0.337 0.500

Properties
Space-group type: No. 65
E_form (eV per formula unit): -1.3
Crystal system: orthorhombic

***

Here is a relaxed structure of TiGaTc from Alexandria via LeMat-Bulk. Energies are from GGA-PBE.

abc: 4.391 4.391 5.398
angles: 90.00 90.00 120.00
Atoms (fractional coordinates):
Ti1 0.333 0.667 0.313
Ti2 0.667 0.333 0.687
Ga1 0.000 0.000 0.000
Ga2 0.000 0.000 0.500
Tc1 0.333 0.667 0.818
Tc2 0.667 0.333 0.182

Properties
Space-group type: No. 164
E_form (eV per formula unit): -1.3
Crystal system: trigonal